# 1
K2AsP | GGA-PBE | optimized geometry

Computed properties:
ΔE to the lowest computed polymorph ... 150 kJ/mol of formula units
Theoretical density ... 3.120 g cm⁻³
SG ... Pmmm (47)
E_form ... 0.017 eV per atom
Fermi-level density of states ... 0.902 states/eV/cell

a b c (Å): 3.220 5.082 5.987
angles (deg): 90.00 90.00 90.00
Fractional coordinates of all 4 atoms:
As (0.500, 0.500, 0.750)
K (0.000, 0.000, 0.004)
K (0.000, 0.000, 0.496)
P (0.500, 0.500, 0.250)

=====

# 2
KAsP2 | GGA-PBE | optimized geometry

Computed properties:
Theoretical density ... 3.187 g cm⁻³
SG ... Imm2 (44)
E_form ... 0.087 eV per atom
Fermi-level density of states ... 1.908 states/eV/cell

a b c (Å): 5.860 5.860 5.860
angles (deg): 148.41 118.07 71.19
Fractional coordinates of all 4 atoms:
As (0.435, 0.435, 0.000)
K (0.759, 0.259, 0.500)
P (0.072, 0.072, 0.000)
P (0.234, 0.734, 0.500)

=====

# 3
KAsP | GGA-PBE | optimized geometry

Computed properties:
ΔE to the lowest computed polymorph ... 28 kJ/mol of formula units
Theoretical density ... 2.760 g cm⁻³
SG ... Amm2 (38)
E_form ... -0.247 eV per atom
Fermi-level density of states ... 1.877 states/eV/cell

a b c (Å): 4.566 3.545 10.778
angles (deg): 90.00 90.00 90.00
Fractional coordinates of all 6 atoms:
K (0.500, 0.000, 0.039)
K (0.500, 0.500, 0.539)
As (0.000, 0.000, 0.341)
As (0.000, 0.500, 0.841)
P (0.000, 0.000, 0.705)
P (0.000, 0.500, 0.205)

=====

# 4
K7As4P | GGA-PBE | optimized geometry

Computed properties:
Theoretical density ... 2.488 g cm⁻³
SG ... Pmn2_1 (31)
E_form ... -0.345 eV per atom
Fermi-level density of states ... 13.312 states/eV/cell

a b c (Å): 8.426 9.115 10.503
angles (deg): 90.00 90.00 90.00
Fractional coordinates of all 24 atoms:
As (0.285, 0.685, 0.000)
As (0.785, 0.315, 0.500)
As (0.921, 0.419, 0.000)
As (0.421, 0.581, 0.500)
As (0.910, 0.795, 0.190)
As (0.410, 0.205, 0.310)
As (0.410, 0.205, 0.690)
As (0.910, 0.795, 0.810)
K (0.110, 0.019, 0.000)
K (0.610, 0.981, 0.500)
K (0.615, 0.858, 0.000)
K (0.115, 0.142, 0.500)
K (0.343, 0.335, 0.000)
K (0.843, 0.665, 0.500)
K (0.131, 0.478, 0.274)
K (0.631, 0.522, 0.226)
K (0.631, 0.522, 0.774)
K (0.131, 0.478, 0.726)
K (0.291, 0.836, 0.284)
K (0.791, 0.164, 0.216)
K (0.791, 0.164, 0.784)
K (0.291, 0.836, 0.716)
P (0.003, 0.669, 0.000)
P (0.503, 0.331, 0.500)

=====

# 5
K2Pa2As2P | GGA-PBE | optimized geometry

Computed properties:
Theoretical density ... 5.332 g cm⁻³
SG ... I4/mmm (139)
E_form ... -0.602 eV per atom
Fermi-level density of states ... 7.782 states/eV/cell

a b c (Å): 5.176 5.176 9.146
angles (deg): 106.44 106.44 90.00
Fractional coordinates of all 7 atoms:
K (0.191, 0.191, 0.382)
K (0.809, 0.809, 0.618)
Pa (0.000, 0.500, 0.000)
Pa (0.500, 0.000, 0.000)
As (0.396, 0.396, 0.791)
As (0.604, 0.604, 0.209)
P (0.000, 0.000, 0.000)

=====

# 6
KAsPRh2 | GGA-PBE | optimized geometry

Computed properties:
Theoretical density ... 5.176 g cm⁻³
SG ... P2_1/m (11)
E_form ... -0.656 eV per atom
Fermi-level density of states ... 2.716 states/eV/cell

a b c (Å): 3.990 7.342 7.986
angles (deg): 105.82 90.00 90.00
Fractional coordinates of all 10 atoms:
K (0.250, 0.055, 0.745)
K (0.750, 0.945, 0.255)
As (0.250, 0.703, 0.927)
As (0.750, 0.297, 0.073)
P (0.250, 0.673, 0.417)
P (0.750, 0.327, 0.583)
Rh (0.750, 0.500, 0.377)
Rh (0.250, 0.500, 0.623)
Rh (0.750, 0.500, 0.873)
Rh (0.250, 0.500, 0.127)

=====

# 7
KAsP2S8 | GGA-PBE | optimized geometry

Computed properties:
Theoretical density ... 2.408 g cm⁻³
SG ... R-3 (148)
Fermi-level density of states ... 6.566 states/eV/cell
Final energy ... -4.318 eV/atom

a b c (Å): 5.911 5.911 10.432
angles (deg): 73.54 73.54 60.00
Fractional coordinates of all 12 atoms:
K (0.500, 0.500, 0.500)
As (0.000, 0.000, 0.000)
P (0.262, 0.262, 0.213)
P (0.738, 0.738, 0.787)
S (0.195, 0.195, 0.415)
S (0.620, 0.280, 0.157)
S (0.805, 0.805, 0.585)
S (0.944, 0.620, 0.157)
S (0.056, 0.380, 0.843)
S (0.280, 0.944, 0.157)
S (0.720, 0.056, 0.843)
S (0.380, 0.720, 0.843)

=====

# 8
KAsP2S | GGA-PBE | optimized geometry

Computed properties:
ΔE to the lowest computed polymorph ... 765 kJ/mol of formula units
Theoretical density ... 2.355 g cm⁻³
SG ... P4/mmm (123)
Fermi-level density of states ... 6.642 states/eV/cell

a b c (Å): 5.293 5.293 5.234
angles (deg): 90.00 90.00 90.00
Fractional coordinates of all 5 atoms:
S (0.000, 0.000, 0.500)
P (0.000, 0.500, 0.000)
P (0.500, 0.000, 0.000)
As (0.500, 0.500, 0.500)
K (0.000, 0.000, 0.000)

=====

# 9
KAsP2S | GGA-PBE | optimized geometry

Computed properties:
ΔE to the lowest computed polymorph ... 0 kJ/mol of formula units
Theoretical density ... 2.836 g cm⁻³
SG ... P4/mmm (123)
Fermi-level density of states ... 3.268 states/eV/cell

a b c (Å): 4.851 4.851 5.175
angles (deg): 90.00 90.00 90.00
Fractional coordinates of all 5 atoms:
S (0.000, 0.000, 0.500)
P (0.000, 0.500, 0.000)
P (0.500, 0.000, 0.000)
As (0.000, 0.000, 0.000)
K (0.500, 0.500, 0.500)

=====

# 10
KAsPSe2 | GGA-PBE | optimized geometry

Computed properties:
ΔE to the lowest computed polymorph ... 0 kJ/mol of formula units
Theoretical density ... 3.954 g cm⁻³
SG ... P4/mmm (123)
Fermi-level density of states ... 4.327 states/eV/cell

a b c (Å): 5.175 5.175 4.750
angles (deg): 90.00 90.00 90.00
Fractional coordinates of all 5 atoms:
P (0.000, 0.000, 0.000)
As (0.000, 0.000, 0.500)
K (0.500, 0.500, 0.500)
Se (0.000, 0.500, 0.000)
Se (0.500, 0.000, 0.000)

=====

# 11
KAsP2Se8 | GGA-PBE | optimized geometry

Computed properties:
Theoretical density ... 3.889 g cm⁻³
SG ... R-3 (148)
Fermi-level density of states ... 11.731 states/eV/cell
Final energy ... -3.814 eV/atom

a b c (Å): 6.178 6.178 11.026
angles (deg): 73.73 73.73 60.00
Fractional coordinates of all 12 atoms:
K (0.500, 0.500, 0.500)
As (0.000, 0.000, 0.000)
P (0.260, 0.260, 0.221)
P (0.740, 0.740, 0.779)
Se (0.191, 0.191, 0.428)
Se (0.622, 0.299, 0.162)
Se (0.809, 0.809, 0.572)
Se (0.918, 0.622, 0.162)
Se (0.082, 0.378, 0.838)
Se (0.299, 0.918, 0.162)
Se (0.701, 0.082, 0.838)
Se (0.378, 0.701, 0.838)

=====

# 12
KAsPSe2 | GGA-PBE | optimized geometry

Computed properties:
ΔE to the lowest computed polymorph ... 812 kJ/mol of formula units
Theoretical density ... 2.995 g cm⁻³
SG ... P4/mmm (123)
Fermi-level density of states ... 9.695 states/eV/cell

a b c (Å): 5.548 5.548 5.458
angles (deg): 90.00 90.00 90.00
Fractional coordinates of all 5 atoms:
P (0.500, 0.500, 0.500)
As (0.000, 0.000, 0.500)
K (0.000, 0.000, 0.000)
Se (0.000, 0.500, 0.000)
Se (0.500, 0.000, 0.000)

=====

# 13
KTcAs2P | GGA-PBE | optimized geometry

Computed properties:
Theoretical density ... 3.705 g cm⁻³
SG ... P4/mmm (123)
E_form ... 2.465 eV per atom
Fermi-level density of states ... 5.444 states/eV/cell

a b c (Å): 5.324 5.027 5.324
angles (deg): 90.00 90.00 90.00
Fractional coordinates of all 5 atoms:
K (0.000, 0.000, 0.000)
P (0.500, 0.500, 0.500)
As (0.000, 0.000, 0.500)
As (0.500, 0.000, 0.000)
Tc (0.000, 0.500, 0.000)

=====

# 14
K2U2AsP2 | GGA-PBE | optimized geometry

Computed properties:
Theoretical density ... 5.089 g cm⁻³
SG ... I4/mmm (139)
E_form ... -0.239 eV per atom
Fermi-level density of states ... 8.267 states/eV/cell

a b c (Å): 5.282 5.282 8.905
angles (deg): 107.25 107.25 90.00
Fractional coordinates of all 7 atoms:
K (0.200, 0.200, 0.400)
K (0.800, 0.800, 0.600)
U (0.000, 0.500, 0.000)
U (0.500, 0.000, 0.000)
As (0.000, 0.000, 0.000)
P (0.405, 0.405, 0.810)
P (0.595, 0.595, 0.190)